# NaCoPO4 (GGA+U, optimized geometry)
data_NaCoPO4
_cell_length_a 10.392
_cell_length_b 6.249
_cell_length_c 4.999
_cell_angle_alpha 90.00
_cell_angle_beta 90.00
_cell_angle_gamma 90.00
_space_group_name_H-M_alt 'P n m a'
_space_group_IT_number 62
_space_group_name_Hall '-P 2ac 2n'
loop_
_atom_site_label
_atom_site_fract_x
_atom_site_fract_y
_atom_site_fract_z
Na1 0.000 0.000 0.000
Co1 0.216 0.250 0.497
P1 0.110 0.750 0.444
O1 0.033 0.250 0.652
O2 0.117 0.750 0.751
O3 0.179 0.554 0.309
# Energy relative to the lowest polymorph listed for this composition, meV/atom: 41
# Volume, Å³/f.u.: 81.2
# DFT total energy, eV/atom: -6.463
# Crystal system: orthorhombic
# ρ, g/cm3: 3.6